A plane-wave DFT calculation with PBE-GGA was carried out for a geometry-optimized HoPu3Sc2Se6 structure.

Values from the calculation:
- total energy (eV per cell) = -100.27
- calculated volume (Å³ per cell) = 279.3

Geometry as POSCAR:
```
HoPu3Sc2Se6
1.0
4.0269 0.0000 0.0000
0.0000 8.0860 0.2963
-2.0134 -2.3218 8.4930
Ho Pu Sc Se
1 3 2 6
direct
0.5000 0.0000 0.0000
0.5000 0.5000 0.0000
0.8348 0.1667 0.6697
0.1652 0.8333 0.3303
0.8325 0.6621 0.6651
0.1675 0.3379 0.3349
0.3335 0.9028 0.6669
0.6712 0.5739 0.3425
0.6665 0.0972 0.3331
0.0061 0.2491 0.0123
0.9939 0.7509 0.9877
0.3288 0.4261 0.6575
```